Record 1
A relaxed NaCuAgF6 crystal. Source: Alexandria, functional GGA-PBE.

a = 4.9641 Å, b = 4.9641 Å, c = 9.9157 Å
α = 90.00°, β = 90.00°, γ = 90.00°
Last column: nearest neighbours and their distance in Å.
Sites, in units of the cell vectors:
Na1 0.0000 0.0000 0.9993  6 F 2.26-2.35
F1 0.6794 0.6794 0.9817  1 Cu 1.94
F2 0.3085 0.3085 0.6919  1 Cu 1.94
F3 0.6915 0.6915 0.6919  1 Cu 1.94
F4 0.8206 0.1794 0.4817  1 Cu 1.94
F5 0.8085 0.1915 0.1919  1 Cu 1.94
Ag1 0.5000 0.5000 0.1708  6 F 2.18-2.26
F6 0.3206 0.3206 0.9817  1 Cu 1.94
Ag2 0.0000 0.0000 0.6708  6 F 2.18-2.26
Na2 0.5000 0.5000 0.4993  6 F 2.26-2.35
F7 0.1794 0.8206 0.4817  1 Cu 1.94
F8 0.7744 0.2256 0.8249  1 Cu 1.93
F9 0.2744 0.2744 0.3249  1 Cu 1.93
Cu1 0.0000 0.0000 0.3329  6 F 1.93-1.94
F10 0.2256 0.7744 0.8249  1 Cu 1.93
F11 0.1915 0.8085 0.1919  1 Cu 1.94
F12 0.7256 0.7256 0.3249  1 Cu 1.93
Cu2 0.5000 0.5000 0.8329  6 F 1.93-1.94

Properties
SG: No. 102
Electronic total energy in eV for the cell shown: -68.34
Formation energy without anion corrections in meV/atom: -1631

***

Record 2
A relaxed SmErZnGe crystal. Source: Alexandria, functional GGA-PBE.

a = 4.2108 Å, b = 4.1152 Å, c = 5.8988 Å
α = 90.00°, β = 110.91°, γ = 90.00°
Last column: nearest neighbours and their distance in Å.
Sites, in units of the cell vectors:
Zn1 0.5721 0.5000 0.1441  2 Ge 2.64
Ge1 0.4227 0.0000 0.8453  2 Zn 2.64
Sm1 0.1438 0.0000 0.2877  4 Zn 3.05, 3 Ge 3.07-3.22
Er1 0.8614 0.5000 0.7229  4 Ge 3.02, 3 Zn 3.13-3.19

Properties
SG: No. 38
Electronic total energy in eV for the cell shown: -17.58
Relative energy among the computed polymorphs in eV per atom: 0.000